Entry 1:
## CuAsSCl (GGA-PBE)

Data for a relaxed structure of CuAsSCl.

Results
The density of states at the Fermi level is 2.70 states/eV/cell. The total magnetic moment comes out at 0.00 μB/f.u.

```
data_CuAsSCl
_space_group_name_H-M_alt 'C 1 m 1'
_space_group_IT_number 8
_cell_length_a 6.643
_cell_length_b 3.356
_cell_length_c 8.140
_cell_angle_alpha 90.00
_cell_angle_beta 103.22
_cell_angle_gamma 90.00
loop_
_space_group_symop_operation_xyz
'x,y,z'
'x,-y,z'
'x+1/2,y+1/2,z'
'x+1/2,-y+1/2,z'
loop_
_atom_site_label
_atom_site_type_symbol
_atom_site_fract_x
_atom_site_fract_y
_atom_site_fract_z
Cu1 Cu 0.000 0.000 0.000
As1 As 0.458 0.000 0.769
S1 S 0.148 0.000 0.594
Cl1 Cl 0.236 0.500 0.148
```

***

Entry 2:
## Cu2As4S3Cl2 (GGA-PBE)

Data for a relaxed structure of Cu2As4S3Cl2.

Results
The total magnetic moment comes out at 0.00 μB/f.u.

```
data_Cu2As4S3Cl2
_space_group_name_H-M_alt 'P 1 21/m 1'
_space_group_IT_number 11
_cell_length_a 6.319
_cell_length_b 7.104
_cell_length_c 12.132
_cell_angle_alpha 90.00
_cell_angle_beta 102.43
_cell_angle_gamma 90.00
loop_
_space_group_symop_operation_xyz
'x,y,z'
'-x,-y,-z'
'-x,y+1/2,-z'
'x,-y+1/2,z'
loop_
_atom_site_label
_atom_site_type_symbol
_atom_site_fract_x
_atom_site_fract_y
_atom_site_fract_z
Cu1 Cu 0.073 0.023 0.197
As1 As 0.231 0.073 0.599
As2 As 0.429 0.750 0.407
As3 As 0.460 0.250 0.885
S1 S 0.259 0.750 0.218
S2 S 0.280 0.004 0.787
Cl1 Cl 0.102 0.250 0.064
Cl2 Cl 0.212 0.250 0.357
```

***

Entry 3:
## CuAs2S2Cl2 (GGA-PBE)

Data for a relaxed structure of CuAs2S2Cl2.

Results
The density of states at the Fermi level is 6.13 states/eV/cell. The total magnetic moment comes out at 0.52 μB/f.u.

```
data_CuAs2S2Cl2
_space_group_name_H-M_alt 'C 1 2/m 1'
_space_group_IT_number 12
_cell_length_a 16.365
_cell_length_b 3.335
_cell_length_c 7.291
_cell_angle_alpha 90.00
_cell_angle_beta 114.81
_cell_angle_gamma 90.00
loop_
_space_group_symop_operation_xyz
'x,y,z'
'-x,-y,-z'
'-x,y,-z'
'x,-y,z'
'x+1/2,y+1/2,z'
'-x+1/2,-y+1/2,-z'
'-x+1/2,y+1/2,-z'
'x+1/2,-y+1/2,z'
loop_
_atom_site_label
_atom_site_type_symbol
_atom_site_fract_x
_atom_site_fract_y
_atom_site_fract_z
Cu1 Cu 0.000 0.000 0.000
As1 As 0.170 0.000 0.589
S1 S 0.225 0.000 0.274
Cl1 Cl 0.006 0.500 0.228
```

***

Number 1: calculated total energy -30.50 eV/cell, formation energy without anion corrections -0.13 eV/atom. Number 2: calculated total energy -91.67 eV/cell, formation energy without anion corrections -0.27 eV/atom. Number 3: calculated total energy -53.28 eV/cell, formation energy without anion corrections -0.19 eV/atom.